[1]
An optimized crystal structure of Zn2RePt, computed with PBE-GGA.

Its crystal system is orthorhombic. The value obtained for the calculated formation energy is 0.0717 eV/atom. The distance to the lowest polymorph of the same formula is 0.58 eV per formula unit.

a b c (Å): 2.729 4.540 4.852
angles (deg): 90.00 90.00 90.00
Space group Pmmm (No. 47)
Inequivalent atoms, fractional coordinates:
Zn 0.000 0.000 0.000 [1 per cell]
Zn 0.500 0.000 0.500 [1 per cell]
Re 0.000 0.500 0.500 [1 per cell]
Pt 0.500 0.500 0.000 [1 per cell]

---

[2]
An optimized crystal structure of Ho2In, computed with PBE-GGA.

Its crystal system is hexagonal. The value obtained for the calculated formation energy is -0.3511 eV/atom.

a b c (Å): 5.3677 5.3677 6.7047
angles (deg): 90.00 90.00 120.00
Space group P6_3/mmc (No. 194)
Inequivalent atoms, fractional coordinates:
Ho 0.0000 0.0000 0.0000 [2 per cell]
Ho 0.3333 0.6667 0.2500 [2 per cell]
In 0.3333 0.6667 0.7500 [2 per cell]

---

[3]
An optimized crystal structure of PbAu, computed with PBE-GGA.

Its crystal system is trigonal. The value obtained for the calculated formation energy is -0.0278 eV/atom.

a b c (Å): 4.1803 4.1803 21.6732
angles (deg): 90.00 90.00 120.00
Space group R-3m (No. 166, hexagonal axes)
Inequivalent atoms, fractional coordinates:
Pb 0.0000 0.0000 0.1047 [6 per cell]
Au 0.0000 0.0000 0.3661 [6 per cell]

---

[4]
An optimized crystal structure of RbYC2, computed with PBE-GGA.

Its crystal system is cubic. The value obtained for the calculated formation energy is 1.8350 eV/atom. The distance to the lowest polymorph of the same formula is 1.00 eV per formula unit.

a b c (Å): 6.566 6.566 6.566
angles (deg): 90.00 90.00 90.00
Space group Fm-3m (No. 225)
Inequivalent atoms, fractional coordinates:
Rb 0.000 0.000 0.000 [4 per cell]
Y 0.000 0.000 0.500 [4 per cell]
C 0.250 0.250 0.250 [8 per cell]

---

[5]
An optimized crystal structure of BaCrSe3, computed with PBE-GGA.

Its crystal system is cubic. The calculation puts the total energy at -26.58 eV/cell.

a b c (Å): 5.030 5.030 5.030
angles (deg): 90.00 90.00 90.00
Space group Pm-3m (No. 221)
Inequivalent atoms, fractional coordinates:
Ba 0.000 0.000 0.000 [1 per cell]
Cr 0.500 0.500 0.500 [1 per cell]
Se 0.000 0.500 0.500 [3 per cell]

---

[6]
An optimized crystal structure of SrTa2Tc, computed with PBE-GGA.

Its crystal system is tetragonal. The value obtained for the calculated formation energy is 1.1167 eV/atom. The distance to the lowest polymorph of the same formula is 2.69 eV per formula unit.

a b c (Å): 4.079 4.079 4.943
angles (deg): 90.00 90.00 90.00
Space group P4/mmm (No. 123)
Inequivalent atoms, fractional coordinates:
Sr 0.000 0.000 0.000 [1 per cell]
Ta 0.000 0.500 0.500 [2 per cell]
Tc 0.500 0.500 0.000 [1 per cell]

---

[7]
An optimized crystal structure of CoPtW3, computed with PBE-GGA.

Its crystal system is cubic. The value obtained for the calculated formation energy is 2.4329 eV/atom. The distance to the lowest polymorph of the same formula is 6.01 eV per formula unit.

a b c (Å): 4.753 4.753 4.753
angles (deg): 90.00 90.00 90.00
Space group Pm-3m (No. 221)
Inequivalent atoms, fractional coordinates:
Co 0.000 0.000 0.000 [1 per cell]
Pt 0.500 0.500 0.500 [1 per cell]
W 0.000 0.500 0.500 [3 per cell]

---

[8]
An optimized crystal structure of BMoSe2Br, computed with PBE-GGA.

Its crystal system is tetragonal. The distance to the lowest polymorph of the same formula is 0.03 eV per formula unit.

a b c (Å): 4.579 4.579 4.425
angles (deg): 90.00 90.00 90.00
Space group P4/mmm (No. 123)
Inequivalent atoms, fractional coordinates:
B 0.000 0.000 0.000 [1 per cell]
Mo 0.500 0.500 0.500 [1 per cell]
Se 0.000 0.500 0.000 [2 per cell]
Br 0.000 0.000 0.500 [1 per cell]

---

[9]
An optimized crystal structure of AcIrI, computed with PBE-GGA.

Its crystal system is monoclinic. The distance to the lowest polymorph of the same formula is 0.00 eV per formula unit.

a b c (Å): 7.747 4.471 12.856
angles (deg): 90.00 101.77 90.00
Space group C2/m (No. 12)
Inequivalent atoms, fractional coordinates:
Ac 0.054 0.000 0.159 [4 per cell]
Ir 0.166 0.500 0.998 [4 per cell]
I 0.218 0.000 0.660 [4 per cell]

---

[10]
An optimized crystal structure of SmSbPt, computed with PBE-GGA.

Its crystal system is cubic. The calculation puts the total energy at -73.87 eV/cell.

a b c (Å): 6.705 6.705 6.705
angles (deg): 90.00 90.00 90.00
Space group F-43m (No. 216)
Inequivalent atoms, fractional coordinates:
Sm 0.000 0.000 0.000 [4 per cell]
Sb 0.000 0.000 0.500 [4 per cell]
Pt 0.250 0.250 0.250 [4 per cell]

---

[11]
An optimized crystal structure of Tc3NiS, computed with PBE-GGA.

Its crystal system is cubic. The distance to the lowest polymorph of the same formula is 0.00 eV per formula unit.

a b c (Å): 4.294 4.294 4.294
angles (deg): 90.00 90.00 90.00
Space group Pm-3m (No. 221)
Inequivalent atoms, fractional coordinates:
Tc 0.000 0.000 0.500 [3 per cell]
Ni 0.500 0.500 0.500 [1 per cell]
S 0.000 0.000 0.000 [1 per cell]

---

[12]
An optimized crystal structure of TbCoB4, computed with PBE-GGA.

Its crystal system is orthorhombic. The value obtained for the calculated formation energy is -0.5777 eV/atom.

a b c (Å): 5.908 11.439 3.398
angles (deg): 90.00 90.00 90.00
Space group Pbam (No. 55)
Inequivalent atoms, fractional coordinates:
Tb 0.128 0.150 0.000 [4 per cell]
Co 0.134 0.411 0.000 [4 per cell]
B 0.022 0.690 0.500 [4 per cell]
B 0.111 0.546 0.500 [4 per cell]
B 0.140 0.967 0.500 [4 per cell]
B 0.218 0.816 0.500 [4 per cell]

---

[13]
An optimized crystal structure of NdGaRhN, computed with PBE-GGA.

Its crystal system is tetragonal. The calculation puts the total energy at -53.62 eV/cell.

a b c (Å): 3.911 3.911 8.961
angles (deg): 90.00 90.00 90.00
Space group P4/nmm (No. 129, origin choice 2)
Inequivalent atoms, fractional coordinates:
Nd 0.250 0.250 0.142 [2 per cell]
Ga 0.250 0.250 0.666 [2 per cell]
Rh 0.250 0.750 0.500 [2 per cell]
N 0.250 0.250 0.883 [2 per cell]

---

[14]
An optimized crystal structure of Ce2Sm2S7, computed with PBE-GGA.

Its crystal system is orthorhombic. The calculation puts the total energy at -141.69 eV/cell.

a b c (Å): 4.012 14.054 8.697
angles (deg): 90.00 90.00 90.00
Space group Imm2 (No. 44)
Inequivalent atoms, fractional coordinates:
Ce 0.000 0.240 0.000 [4 per cell]
Sm 0.000 0.000 0.749 [2 per cell]
Sm 0.000 0.500 0.792 [2 per cell]
S 0.000 0.000 0.070 [2 per cell]
S 0.000 0.113 0.473 [4 per cell]
S 0.000 0.312 0.693 [4 per cell]
S 0.000 0.360 0.304 [4 per cell]

---

[15]
An optimized crystal structure of SrPb2W, computed with PBE-GGA.

Its crystal system is tetragonal. The value obtained for the calculated formation energy is 0.4505 eV/atom. The distance to the lowest polymorph of the same formula is 0.00 eV per formula unit.

a b c (Å): 3.574 3.574 8.039
angles (deg): 90.00 90.00 90.00
Space group P4/mmm (No. 123)
Inequivalent atoms, fractional coordinates:
Sr 0.000 0.000 0.000 [1 per cell]
Pb 0.500 0.500 0.299 [2 per cell]
W 0.000 0.000 0.500 [1 per cell]

---

[16]
An optimized crystal structure of Cs2CdP, computed with PBE-GGA.

Its crystal system is tetragonal. The value obtained for the calculated formation energy is -0.1159 eV/atom. The distance to the lowest polymorph of the same formula is 0.00 eV per formula unit.

a b c (Å): 13.657 13.657 5.173
angles (deg): 90.00 90.00 90.00
Space group I-42d (No. 122)
Inequivalent atoms, fractional coordinates:
Cs 0.062 0.750 0.125 [8 per cell]
Cd 0.000 0.000 0.500 [4 per cell]
P 0.000 0.000 0.000 [4 per cell]